1.
# CuPtAu2, optimized geometry, DFT GGA-PBE
data_CuPtAu2
_cell_length_a 4.406
_cell_length_b 4.406
_cell_length_c 8.264
_cell_angle_alpha 90.00
_cell_angle_beta 90.00
_cell_angle_gamma 120.00
_space_group_name_H-M_alt 'P 1'
_space_group_IT_number 1
_space_group_name_Hall 'P 1'
loop_
_atom_site_label
_atom_site_type_symbol
_atom_site_fract_x
_atom_site_fract_y
_atom_site_fract_z
Cu1 Cu 0.000 0.000 0.750
Cu2 Cu 0.000 0.000 0.250
Pt1 Pt 0.667 0.333 0.250
Pt2 Pt 0.333 0.667 0.750
Au1 Au 0.667 0.333 0.917
Au2 Au 0.333 0.667 0.083
Au3 Au 0.333 0.667 0.417
Au4 Au 0.667 0.333 0.583
# - ΔH_f (0 K): 0.068 eV per atom


2.
# Sc2PtBr, optimized geometry, DFT GGA-PBE
data_Sc2PtBr
_cell_length_a 8.167
_cell_length_b 8.167
_cell_length_c 8.167
_cell_angle_alpha 28.70
_cell_angle_beta 28.70
_cell_angle_gamma 28.70
_space_group_name_H-M_alt 'P 1'
_space_group_IT_number 1
_space_group_name_Hall 'P 1'
loop_
_atom_site_label
_atom_site_type_symbol
_atom_site_fract_x
_atom_site_fract_y
_atom_site_fract_z
Sc1 Sc 0.888 0.888 0.888
Sc2 Sc 0.112 0.112 0.112
Br1 Br 0.000 0.000 0.000
Pt1 Pt 0.500 0.500 0.500
# - E: -6.16 eV/atom


3.
# LaTbSmTm, optimized geometry, DFT GGA-PBE
data_LaTbSmTm
_cell_length_a 5.747
_cell_length_b 5.747
_cell_length_c 5.747
_cell_angle_alpha 60.00
_cell_angle_beta 60.00
_cell_angle_gamma 60.00
_space_group_name_H-M_alt 'P 1'
_space_group_IT_number 1
_space_group_name_Hall 'P 1'
loop_
_atom_site_label
_atom_site_type_symbol
_atom_site_fract_x
_atom_site_fract_y
_atom_site_fract_z
Tm1 Tm 0.500 0.500 0.500
Tb1 Tb 0.000 0.000 0.000
Sm1 Sm 0.750 0.750 0.750
La1 La 0.250 0.250 0.250
# - ΔH_f (0 K): 0.105 eV per atom


Values for size of the total moment, μB/f.u., ordered as above
0.0; 0.0; 0.0